[1]
This record from Alexandria describes a geometry-optimized PaB2SO8 structure. The functional is GGA-PBE.

Lattice parameters (Å, degrees): 5.098 5.098 5.389 106.35 106.35 58.69
Positions (direct):
Pa: 0.000 0.000 0.000
B: 0.202 0.202 0.636
B: 0.798 0.798 0.364
S: 0.500 0.500 0.500
O: 0.106 0.634 0.265
O: 0.153 0.153 0.361
O: 0.366 0.894 0.735
O: 0.382 0.382 0.744
O: 0.618 0.618 0.256
O: 0.634 0.106 0.265
O: 0.847 0.847 0.639
O: 0.894 0.366 0.735

- magnetization (μB/f.u.) = 0.00
- formation energy (no corrections) (eV/atom) = -1.85
- density of states at the Fermi level (states/eV/atom) = 0.146
- density (g/cm3) = 6.1



[2]
This record from Alexandria describes a geometry-optimized PaB2SbO8 structure. The functional is GGA-PBE.

Lattice parameters (Å, degrees): 5.140 5.140 6.775 90.00 90.00 120.00
Positions (direct):
Pa: 0.000 0.000 0.000
B: 0.333 0.667 0.710
B: 0.667 0.333 0.290
Sb: 0.000 0.000 0.500
O: 0.177 0.353 0.781
O: 0.177 0.823 0.781
O: 0.333 0.667 0.496
O: 0.353 0.177 0.219
O: 0.647 0.823 0.781
O: 0.667 0.333 0.504
O: 0.823 0.177 0.219
O: 0.823 0.647 0.219

- magnetization (μB/f.u.) = 1.97
- formation energy (no corrections) (eV/atom) = -1.96
- density of states at the Fermi level (states/eV/atom) = 0.452
- density (g/cm3) = 5.4



[3]
This record from Alexandria describes a geometry-optimized Sc3PaB4O12 structure. The functional is GGA-PBE.

Lattice parameters (Å, degrees): 6.313 6.313 6.313 103.20 103.20 103.20
Positions (direct):
Sc: 0.000 0.548 0.452
Sc: 0.452 0.000 0.548
Sc: 0.548 0.452 0.000
Pa: 0.000 0.000 0.000
B: 0.049 0.500 0.951
B: 0.500 0.500 0.500
B: 0.500 0.951 0.049
B: 0.951 0.049 0.500
O: 0.031 0.629 0.801
O: 0.091 0.909 0.500
O: 0.199 0.371 0.969
O: 0.360 0.640 0.500
O: 0.371 0.969 0.199
O: 0.500 0.091 0.909
O: 0.500 0.360 0.640
O: 0.629 0.801 0.031
O: 0.640 0.500 0.360
O: 0.801 0.031 0.629
O: 0.909 0.500 0.091
O: 0.969 0.199 0.371

- magnetization (μB/f.u.) = 2.08
- formation energy (no corrections) (eV/atom) = -2.90
- density of states at the Fermi level (states/eV/atom) = 0.530
- density (g/cm3) = 4.4



[4]
This record from Alexandria describes a geometry-optimized PaB2SeO8 structure. The functional is GGA-PBE.

Lattice parameters (Å, degrees): 5.184 5.184 5.409 106.73 106.73 59.09
Positions (direct):
Pa: 0.000 0.000 0.000
B: 0.203 0.203 0.646
B: 0.797 0.797 0.354
Se: 0.500 0.500 0.500
O: 0.095 0.637 0.252
O: 0.151 0.151 0.368
O: 0.363 0.905 0.748
O: 0.379 0.379 0.755
O: 0.621 0.621 0.245
O: 0.637 0.095 0.252
O: 0.849 0.849 0.632
O: 0.905 0.363 0.748

- magnetization (μB/f.u.) = 0.00
- formation energy (no corrections) (eV/atom) = -1.96
- density of states at the Fermi level (states/eV/atom) = 0.157
- density (g/cm3) = 6.5



[5]
This record from Alexandria describes a geometry-optimized PaSiB2O8 structure. The functional is GGA-PBE.

Lattice parameters (Å, degrees): 5.091 5.091 5.315 103.76 103.76 57.07
Positions (direct):
Pa: 0.000 0.000 0.000
Si: 0.500 0.500 0.500
B: 0.198 0.198 0.629
B: 0.802 0.802 0.371
O: 0.122 0.643 0.282
O: 0.158 0.158 0.351
O: 0.357 0.878 0.718
O: 0.373 0.373 0.727
O: 0.627 0.627 0.273
O: 0.643 0.122 0.282
O: 0.842 0.842 0.649
O: 0.878 0.357 0.718

- magnetization (μB/f.u.) = 0.22
- formation energy (no corrections) (eV/atom) = -2.40
- density of states at the Fermi level (states/eV/atom) = 0.529
- density (g/cm3) = 6.1



[6]
This record from Alexandria describes a geometry-optimized SmPaB2O8 structure. The functional is GGA-PBE.

Lattice parameters (Å, degrees): 6.544 6.544 6.544 137.83 137.83 61.16
Positions (direct):
Sm: 0.000 0.000 0.000
Pa: 0.250 0.750 0.500
B: 0.500 0.500 0.000
B: 0.750 0.250 0.500
O: 0.324 0.668 0.139
O: 0.332 0.471 0.656
O: 0.439 0.063 0.134
O: 0.529 0.185 0.861
O: 0.695 0.561 0.624
O: 0.815 0.676 0.344
O: 0.929 0.305 0.866
O: 0.937 0.071 0.376

- magnetization (μB/f.u.) = 2.05
- formation energy (no corrections) (eV/atom) = -2.57
- density of states at the Fermi level (states/eV/atom) = 0.339
- density (g/cm3) = 7.1



Question: What is the density in the fourth record?
Answer: 6.5 g/cm3



Question: Which value of density does entry 1 give?
Answer: 6.1 g/cm3